Entry 1
VASP calculation (GGA-PBE) on a geometry-optimized LaNdHg structure.

As for the size of the total moment: 2.514 μB per cell.

The structure belongs to space group F-43m (No. 216); the cell edges are 7.514, 7.514 and 7.514 Å and the angles 90.00°, 90.00° and 90.00°. The distinct sites, in fractional coordinates, are La at (0.000, 0.000, 0.000), Nd at (0.000, 0.000, 0.500) and Hg at (0.250, 0.250, 0.750).

Entry 2
VASP calculation (GGA-PBE) on a geometry-optimized LaNdHg structure.

As for the size of the total moment: 0.000 μB per cell.

The structure belongs to space group Cm (No. 8); the cell edges are 8.851, 5.614 and 8.152 Å and the angles 90.00°, 108.58° and 90.00°. The distinct sites, in fractional coordinates, are La at (0.000, 0.000, 0.000), La at (0.122, 0.000, 0.512), Nd at (0.094, 0.500, 0.721), Nd at (0.217, 0.500, 0.231), Hg at (0.323, 0.000, 0.914) and Hg at (0.398, 0.000, 0.315).

Which is less stable than every other structure shown? entry 1 is.